Entry 1:
## Gd3Y (PBE)

Data for a relaxed Gd3Y crystal.

Cell lengths 3.622, 5.750, 6.303 Å; angles 90.00, 90.00, 90.00 degrees
Fractional coordinates of all 4 atoms:
Gd 0.000 0.000 0.000
Gd 0.000 0.500 0.334
Gd 0.500 0.000 0.499
Y 0.500 0.500 0.830

Spin magnetization ... 8.0 Bohr magnetons per cell
N(E_F) ... 2.0572 states/eV/atom
Volume ... 32.8 Å³/atom
ΔE_f ... 0.008 eV/atom

---

Entry 2:
## LaTb5Dy2Ho (PBE)

Data for a relaxed LaTb5Dy2Ho crystal.

Cell lengths 9.726, 9.726, 9.726 Å; angles 124.60, 124.60, 82.19 degrees
Fractional coordinates of all 18 atoms:
La 0.250 0.250 0.000
La 0.750 0.750 0.000
Tb 0.000 0.000 0.000
Tb 0.074 0.574 0.908
Tb 0.166 0.074 0.500
Tb 0.334 0.834 0.908
Tb 0.426 0.334 0.500
Tb 0.500 0.500 0.000
Tb 0.574 0.666 0.500
Tb 0.666 0.166 0.092
Tb 0.834 0.926 0.500
Tb 0.926 0.426 0.092
Dy 0.112 0.388 0.500
Dy 0.388 0.888 0.276
Dy 0.612 0.112 0.724
Dy 0.888 0.612 0.500
Ho 0.250 0.750 0.500
Ho 0.750 0.250 0.500

Spin magnetization ... 0.0 Bohr magnetons per cell
N(E_F) ... 1.4093 states/eV/atom
Volume ... 33.3 Å³/atom
ΔE_f ... 0.288 eV/atom